(1)
# PBE Os2RhSe, relaxed
data_Os2RhSe
_space_group_name_H-M_alt 'P 1'
_space_group_IT_number 1
_cell_length_a 8.6068
_cell_length_b 8.6068
_cell_length_c 8.6068
_cell_angle_alpha 19.08
_cell_angle_beta 19.08
_cell_angle_gamma 19.08
loop_
_space_group_symop_operation_xyz
'x,y,z'
loop_
_atom_site_label
_atom_site_type_symbol
_atom_site_fract_x
_atom_site_fract_y
_atom_site_fract_z
Os1 Os 0.2478 0.2478 0.2478
Os2 Os 0.7522 0.7522 0.7522
Rh1 Rh 0.0000 0.0000 0.0000
Se1 Se 0.5000 0.5000 0.5000
# - raw formation energy (eV/atom) = 0.548
# - volume (Å³ per atom) = 14.9

=====

(2)
# PBE Cs2PrCuF6, relaxed
data_Cs2PrCuF6
_space_group_name_H-M_alt 'P 1'
_space_group_IT_number 1
_cell_length_a 7.1280
_cell_length_b 6.5960
_cell_length_c 6.5613
_cell_angle_alpha 65.61
_cell_angle_beta 57.43
_cell_angle_gamma 56.96
loop_
_space_group_symop_operation_xyz
'x,y,z'
loop_
_atom_site_label
_atom_site_type_symbol
_atom_site_fract_x
_atom_site_fract_y
_atom_site_fract_z
Cs1 Cs 0.2500 0.2500 0.2500
Cs2 Cs 0.7500 0.7500 0.7500
Pr1 Pr 0.0000 0.0000 0.0000
Cu1 Cu 0.5000 0.5000 0.5000
F1 F 0.2260 0.2260 0.7740
F2 F 0.2280 0.7720 0.2280
F3 F 0.2759 0.7241 0.7241
F4 F 0.7241 0.2759 0.2759
F5 F 0.7720 0.2280 0.7720
F6 F 0.7740 0.7740 0.2260
# - raw formation energy (eV/atom) = -2.874
# - volume (Å³ per atom) = 21.5